1.
Computed, not measured: a geometry-optimized PIrPt structure at the PBE level of DFT.

abc: 6.049 5.707 5.444
angles: 90.00 94.14 90.00
Sites, in units of the cell vectors:
P (0.138, 0.032, 0.312)
P (0.138, 0.468, 0.812)
P (0.862, 0.532, 0.188)
P (0.862, 0.968, 0.688)
Ir (0.226, 0.657, 0.197)
Ir (0.226, 0.843, 0.697)
Ir (0.774, 0.157, 0.303)
Ir (0.774, 0.343, 0.803)
Pt (0.368, 0.194, 0.022)
Pt (0.368, 0.306, 0.522)
Pt (0.632, 0.694, 0.478)
Pt (0.632, 0.806, 0.978)

Computed properties:
Symmetry: P2_1/c
Uncorrected energy: -85.64 eV per cell
V: 187.4 Å³/cell
DOS at the Fermi energy: 0.311 states/eV per atom
Crystal system: monoclinic
Offset from the most stable computed form: 0.000 eV per atom
Calculated formation energy: -1.10 eV/f.u.

=====

2.
Computed, not measured: a geometry-optimized RbIn6Te8 structure at the PBE level of DFT.

abc: 8.342 8.342 8.342
angles: 96.93 96.93 96.93
Sites, in units of the cell vectors:
Rb (0.000, 0.000, 0.000)
In (0.174, 0.625, 0.311)
In (0.311, 0.174, 0.625)
In (0.375, 0.689, 0.826)
In (0.625, 0.311, 0.174)
In (0.689, 0.826, 0.375)
In (0.826, 0.375, 0.689)
Te (0.146, 0.838, 0.615)
Te (0.162, 0.385, 0.854)
Te (0.327, 0.327, 0.327)
Te (0.385, 0.854, 0.162)
Te (0.615, 0.146, 0.838)
Te (0.673, 0.673, 0.673)
Te (0.838, 0.615, 0.146)
Te (0.854, 0.162, 0.385)

Computed properties:
Symmetry: R-3
Uncorrected energy: -47.36 eV per cell
V: 566.6 Å³/cell
E_form (uncorrected): -321.7 meV per atom
DOS at the Fermi energy: 0.529 states/eV per atom
Crystal system: trigonal
Offset from the most stable computed form: 0.000 eV per atom

=====

3.
Computed, not measured: a geometry-optimized Ac2BiN structure at the PBE level of DFT.

abc: 8.293 8.293 3.609
angles: 90.00 90.00 90.00
Sites, in units of the cell vectors:
Ac (0.151, 0.349, 0.000)
Ac (0.349, 0.849, 0.000)
Ac (0.651, 0.151, 0.000)
Ac (0.849, 0.651, 0.000)
Bi (0.000, 0.000, 0.500)
Bi (0.500, 0.500, 0.500)
N (0.000, 0.500, 0.500)
N (0.500, 0.000, 0.500)

Computed properties:
Symmetry: P4/mbm
Uncorrected energy: -47.43 eV per cell
V: 248.2 Å³/cell
E_form (uncorrected): -823.5 meV per atom
DOS at the Fermi energy: 0.361 states/eV per atom
Crystal system: tetragonal
Offset from the most stable computed form: 0.180 eV per atom

=====

4.
Computed, not measured: a geometry-optimized KSbIr2 structure at the PBE level of DFT.

abc: 2.905 4.050 7.831
angles: 90.00 90.00 90.00
Sites, in units of the cell vectors:
K (0.000, 0.000, 0.000)
Sb (0.500, 0.500, 0.355)
Ir (0.000, 0.000, 0.573)
Ir (0.500, 0.500, 0.690)

Computed properties:
Symmetry: Pmm2
Uncorrected energy: -21.74 eV per cell
V: 92.1 Å³/cell
E_form (uncorrected): 300.8 meV per atom
DOS at the Fermi energy: 1.406 states/eV per atom
Crystal system: orthorhombic

=====

What did the first record say?
Computed, not measured: a geometry-optimized PIrPt structure at the PBE level of DFT.

abc: 6.049 5.707 5.444
angles: 90.00 94.14 90.00
Sites, in units of the cell vectors:
P (0.138, 0.032, 0.312)
P (0.138, 0.468, 0.812)
P (0.862, 0.532, 0.188)
P (0.862, 0.968, 0.688)
Ir (0.226, 0.657, 0.197)
Ir (0.226, 0.843, 0.697)
Ir (0.774, 0.157, 0.303)
Ir (0.774, 0.343, 0.803)
Pt (0.368, 0.194, 0.022)
Pt (0.368, 0.306, 0.522)
Pt (0.632, 0.694, 0.478)
Pt (0.632, 0.806, 0.978)

Computed properties:
Symmetry: P2_1/c
Uncorrected energy: -85.64 eV per cell
V: 187.4 Å³/cell
DOS at the Fermi energy: 0.311 states/eV per atom
Crystal system: monoclinic
Offset from the most stable computed form: 0.000 eV per atom
Calculated formation energy: -1.10 eV/f.u.